KCoAg2 PBE-GGA relaxed; calculated total energy = -2.90 eV per atom; excess energy over the best structure of this formula in the dataset = 113 meV/atom; total magnetization = 1.63 Bohr magnetons per cell; E_form = 0.580 eV per atom
1.0
-1.584 1.580 1.998
-2.545 -1.058 -1.185
0.245 -7.058 5.778
Ag K Co
2 1 1
Cartesian
-1.998 -1.631 1.955 Ag
0.011 -0.328 0.268 Ag
-1.884 -4.932 4.658 K
0.110 -3.174 2.598 Co

KCoAg PBE-GGA relaxed; calculated total energy = -2.98 eV per atom; excess energy over the best structure of this formula in the dataset = 74 meV/atom; total magnetization = 1.80 Bohr magnetons per cell; E_form = 0.701 eV per atom
1.0
-1.640 0.266 6.218
1.159 -1.950 6.024
2.085 2.505 1.472
Co Ag K
1 1 1
Cartesian
1.071 0.849 5.728 Co
-0.328 -1.435 11.601 Ag
0.380 -0.278 8.627 K

KCoAg2 PBE-GGA relaxed; calculated total energy = -2.67 eV per atom; excess energy over the best structure of this formula in the dataset = 337 meV/atom; total magnetization = 1.81 Bohr magnetons per cell; E_form = 0.804 eV per atom
1.0
4.652 -1.079 1.266
0.924 -2.342 4.251
1.549 -4.691 -0.050
Co Ag K
1 2 1
Cartesian
3.562 -4.056 2.734 Co
5.344 -6.084 4.101 Ag
1.781 -2.028 1.367 Ag
0.000 0.000 0.000 K

E_form of number 2 (KCoAg)?
0.701 eV per atom